# 1
Here is a geometry-optimized Ac2Sm12Y5 structure from Alexandria. Energies are from PBE.

Lattice parameters (Å, degrees): 9.7215 11.9221 8.8719 129.54 90.00 114.06
With the nearest neighbours (Å) after each atom.
Positions (direct):
Ac  0.6815  0.0000  0.0000  6 Sm 3.32-3.47, 1 Ac 3.53, 2 Y 3.62
Sm  0.9428  0.2517  0.9527  1 Ac 3.32, 3 Y 3.39-3.70, 3 Sm 3.41-3.71
Sm  0.4785  0.9570  0.6289  3 Sm 3.01-3.36
Sm  0.9229  0.3302  0.6121  4 Sm 3.35-3.71, 4 Y 3.50-3.71
Sm  0.6911  0.7483  0.0473  1 Ac 3.32, 3 Y 3.39-3.70, 3 Sm 3.41-3.71
Ac  0.3185  0.0000  0.0000  6 Sm 3.32-3.47, 1 Ac 3.53, 2 Y 3.62
Y  0.7018  0.4036  0.3737  6 Sm 3.51-3.91, 1 Y 3.56, 2 Ac 3.62
Y  0.2918  0.5836  0.0170  9 Sm 3.48-3.70, 1 Y 3.56
Sm  0.3089  0.2517  0.9527  1 Ac 3.32, 3 Y 3.39-3.70, 3 Sm 3.41-3.71
Sm  0.4073  0.3302  0.6121  4 Sm 3.35-3.71, 4 Y 3.50-3.71
Sm  0.5215  0.0430  0.3711  3 Sm 3.01-3.36
Y  0.2982  0.5964  0.6263  6 Sm 3.51-3.91, 1 Y 3.56, 2 Ac 3.62
Y  0.7082  0.4164  0.9830  9 Sm 3.48-3.70, 1 Y 3.56
Sm  0.9264  0.8527  0.7587  3 Sm 3.08-3.35
Sm  0.5927  0.6698  0.3879  4 Sm 3.35-3.71, 4 Y 3.50-3.71
Sm  0.0736  0.1473  0.2413  3 Sm 3.08-3.35
Y  0.0000  0.0000  0.5000  6 Sm 3.39-3.60
Sm  0.0572  0.7483  0.0473  1 Ac 3.32, 3 Y 3.39-3.70, 3 Sm 3.41-3.71
Sm  0.0771  0.6698  0.3879  4 Sm 3.35-3.71, 4 Y 3.50-3.71

Properties
ΔE_f = 0.232 eV/atom
V = 35.43 Å³ per atom
ΔE to the lowest computed polymorph = 129 meV/atom
Uncorrected energy = -92.76 eV/cell

---

# 2
Here is a geometry-optimized CuRhSe2 structure from Alexandria. Energies are from PBE.

Lattice parameters (Å, degrees): 8.1770 8.1770 8.1770 23.06 23.06 23.06
With the nearest neighbours (Å) after each atom.
Positions (direct):
Rh  0.0000  0.0000  0.0000  2 Se 2.36
Cu  0.5000  0.5000  0.5000  6 Se 2.48
Se  0.0991  0.0991  0.0991  1 Rh 2.36, 3 Cu 2.48
Se  0.9009  0.9009  0.9009  1 Rh 2.36, 3 Cu 2.48

Properties
V = 18.41 Å³ per atom
Formation energy from raw total energies = 217 meV per atom
Uncorrected energy = -17.55 eV/cell

---

# 3
Here is a geometry-optimized NaCu2S3 structure from Alexandria. Energies are from PBE.

Lattice parameters (Å, degrees): 5.3549 4.4705 11.3150 90.00 90.00 90.00
With the nearest neighbours (Å) after each atom.
Positions (direct):
Na  0.7062  0.5000  0.5000  4 S 2.75-2.86
Cu  0.1661  0.0000  0.3439  4 S 2.19-2.31
S  0.0741  0.5000  0.6830  3 Cu 2.23-2.31
S  0.5924  0.5000  0.0000  2 Cu 2.19
Cu  0.8339  0.5000  0.8439  4 S 2.19-2.31
S  0.0741  0.5000  0.3170  3 Cu 2.23-2.31
Cu  0.1661  0.0000  0.6561  4 S 2.19-2.31
S  0.9259  0.0000  0.8170  3 Cu 2.23-2.31
Cu  0.8339  0.5000  0.1561  4 S 2.19-2.31
Na  0.2938  0.0000  0.0000  4 S 2.75-2.86
S  0.9259  0.0000  0.1830  3 Cu 2.23-2.31
S  0.4076  0.0000  0.5000  2 Cu 2.19

Properties
V = 22.57 Å³ per atom
Formation energy from raw total energies = -339 meV per atom
Uncorrected energy = -47.85 eV/cell

---

# 4
Here is a geometry-optimized LiZrTe2 structure from Alexandria. Energies are from PBE.

Lattice parameters (Å, degrees): 3.6103 3.6260 7.7838 73.83 90.00 90.00
With the nearest neighbours (Å) after each atom.
Positions (direct):
Zr  0.5000  0.2500  0.2500  8 Te 3.08-3.10
Te  0.0000  0.6165  0.4813  2 Li 2.90, 4 Zr 3.08-3.10
Li  0.5000  0.7500  0.7500  4 Te 2.90
Te  0.0000  0.8835  0.0187  2 Li 2.90, 4 Zr 3.08-3.10

Properties
V = 24.47 Å³ per atom
Formation energy from raw total energies = -782 meV per atom
Uncorrected energy = -19.87 eV/cell

---

# 5
Here is a geometry-optimized TbInPb2 structure from Alexandria. Energies are from PBE.

Lattice parameters (Å, degrees): 4.8063 4.8161 4.8161 90.00 90.00 90.00
With the nearest neighbours (Å) after each atom.
Positions (direct):
Pb  0.0000  0.0000  0.5000  4 Tb 3.40, 4 In 3.40, 4 Pb 3.41
Pb  0.0000  0.5000  0.0000  4 Tb 3.40, 4 In 3.40, 4 Pb 3.41
In  0.5000  0.0000  0.0000  8 Pb 3.40, 4 Tb 3.41
Tb  0.5000  0.5000  0.5000  8 Pb 3.40, 4 In 3.41

Properties
ΔE_f = -0.324 eV/atom
V = 27.87 Å³ per atom
Uncorrected energy = -16.08 eV/cell

---

# 6
Here is a geometry-optimized Ca2NdAu3 structure from Alexandria. Energies are from PBE.

Lattice parameters (Å, degrees): 3.6831 5.1689 8.1943 108.38 90.00 90.00
With the nearest neighbours (Å) after each atom.
Positions (direct):
Au  0.5000  0.8371  0.6741  2 Nd 3.13, 6 Ca 3.17-3.19
Nd  0.0000  0.0000  0.0000  8 Au 3.13-3.17
Au  0.5000  0.1629  0.3259  2 Nd 3.13, 6 Ca 3.17-3.19
Ca  0.0000  0.6693  0.3386  8 Au 3.17-3.21
Au  0.5000  0.5000  0.0000  4 Nd 3.17, 4 Ca 3.21
Ca  0.0000  0.3307  0.6614  8 Au 3.17-3.21

Properties
ΔE_f = -0.787 eV/atom
V = 24.67 Å³ per atom
ΔE to the lowest computed polymorph = 0 meV/atom
Uncorrected energy = -23.33 eV/cell

---

# 7
Here is a geometry-optimized Li3YSb2 structure from Alexandria. Energies are from PBE.

Lattice parameters (Å, degrees): 4.3039 8.9639 10.7398 100.84 90.00 103.89
With the nearest neighbours (Å) after each atom.
Positions (direct):
Sb  0.8068  0.6136  0.8519  6 Li 2.73-2.83
Li  0.3798  0.7595  0.7688  4 Sb 2.73-2.85, 3 Li 2.86-3.01
Li  0.0477  0.0955  0.3399  5 Li 2.74-2.97, 4 Sb 2.98-3.03
Y  0.8313  0.6627  0.2783  6 Sb 3.19-3.33, 4 Li 3.50-3.55
Li  0.7920  0.5840  0.5934  4 Sb 2.59-2.74, 1 Li 2.74
Li  0.6829  0.3658  0.9886  4 Sb 2.73-2.83, 1 Li 3.01
Sb  0.6431  0.2862  0.4988  4 Li 2.49-2.71
Li  0.5000  0.0000  0.5000  2 Sb 2.49
Li  0.6202  0.2405  0.2312  4 Sb 2.73-2.85, 3 Li 2.86-3.01
Sb  0.5463  0.0926  0.8094  4 Li 2.75-2.98
Sb  0.3569  0.7138  0.5012  4 Li 2.49-2.71
Y  0.0000  0.0000  0.0000  6 Sb 3.18-3.43
Sb  0.1932  0.3864  0.1481  6 Li 2.73-2.83
Li  0.3171  0.6342  0.0114  4 Sb 2.73-2.83, 1 Li 3.01
Li  0.9523  0.9045  0.6601  5 Li 2.74-2.97, 4 Sb 2.98-3.03
Sb  0.4537  0.9074  0.1906  4 Li 2.75-2.98
Li  0.2080  0.4160  0.4066  4 Sb 2.59-2.74, 1 Li 2.74
Y  0.1687  0.3373  0.7217  6 Sb 3.19-3.33, 4 Li 3.50-3.55

Properties
V = 21.92 Å³ per atom
Formation energy from raw total energies = -725 meV per atom
Uncorrected energy = -74.40 eV/cell

---

# 8
Here is a geometry-optimized AlTc3S structure from Alexandria. Energies are from PBE.

Lattice parameters (Å, degrees): 4.3356 4.3356 4.3356 90.00 90.00 90.00
With the nearest neighbours (Å) after each atom.
Positions (direct):
Tc  0.5000  0.0000  0.0000  2 S 2.17
S  0.0000  0.0000  0.0000  6 Tc 2.17
Tc  0.0000  0.0000  0.5000  2 S 2.17
Tc  0.0000  0.5000  0.0000  2 S 2.17
Al  0.5000  0.5000  0.5000  12 Tc 3.07

Properties
V = 16.30 Å³ per atom
Formation energy from raw total energies = 314 meV per atom
ΔE to the lowest computed polymorph = 0 meV/atom
Uncorrected energy = -37.40 eV/cell

---

Q: Look up the uncorrected energy of the sixth one.
A: -23.33 eV/cell